[1]
Ba2LiP | PBE | relaxed

Cell and atoms, written as extended XYZ:
```
4
Lattice="-3.907 -0.094 1.120 -0.077 -4.018 -0.606 2.305 -5.293 7.601" Properties=species:S:1:pos:R:3 pbc="T T T"
Ba 2.173 -5.221 7.147
Ba 1.246 -4.727 3.952
Li -1.397 -2.375 2.309
P -0.283 -7.030 5.806
```

Results
As for the calculated volume: 142.8 Å³/cell. As for the space group: P2/m.

[2]
BaLiP2 | PBE | relaxed

Cell and atoms, written as extended XYZ:
```
16
Lattice="-3.401 -2.348 -1.189 1.908 -5.434 5.270 -6.112 5.079 7.451" Properties=species:S:1:pos:R:3 pbc="T T T"
Ba -1.666 -5.877 4.703
Ba -5.938 3.174 6.828
Ba -4.092 -1.937 3.863
Ba -3.512 -0.767 7.668
Li -0.566 -2.804 3.266
Li -3.180 1.293 2.655
Li -7.039 0.101 8.265
Li -4.424 -3.996 8.876
P -6.131 -1.848 9.517
P -1.474 -0.855 2.014
P -6.055 0.013 5.627
P -1.549 -2.717 5.904
P -3.571 -3.971 6.386
P -5.096 0.226 10.238
P -2.509 -2.929 1.293
P -4.034 1.267 5.145
```

Results
As for the calculated volume: 365.7 Å³/cell. As for the space group: Pnma.

[3]
Ba2Li4P | PBE | relaxed

Cell and atoms, written as extended XYZ:
```
7
Lattice="4.857 0.000 0.000 0.000 4.857 0.000 2.429 2.429 10.066" Properties=species:S:1:pos:R:3 pbc="T T T"
P 0.000 0.000 0.000
Ba 4.857 4.857 6.412
Ba 2.429 2.429 3.654
Li 4.857 4.857 2.367
Li 2.429 2.429 7.700
Li 0.000 2.429 0.000
Li 2.429 0.000 0.000
```

Results
As for the calculated volume: 237.5 Å³/cell. As for the space group: I4/mmm.

[4]
BaLiP | PBE | relaxed

Cell and atoms, written as extended XYZ:
```
6
Lattice="4.532 0.000 0.000 -2.266 3.925 0.000 0.000 0.000 8.749" Properties=species:S:1:pos:R:3 pbc="T T T"
Ba 0.000 0.000 0.000
Ba 0.000 0.000 4.375
Li 2.266 1.308 2.187
Li 0.000 2.616 6.562
P 2.266 1.308 6.562
P 0.000 2.616 2.187
```

Results
As for the calculated volume: 155.6 Å³/cell. As for the space group: P6_3/mmc.

[5]
Ba2LiP | PBE | relaxed

Cell and atoms, written as extended XYZ:
```
4
Lattice="-3.890 -0.352 1.297 0.691 -3.999 0.685 2.474 1.781 7.904" Properties=species:S:1:pos:R:3 pbc="T T T"
Ba 2.216 1.596 7.080
Ba -0.764 -1.574 3.662
Li 1.401 1.009 4.477
P 0.132 -0.929 6.523
```

Results
As for the calculated volume: 143.5 Å³/cell. As for the space group: Cmm2.

[6]
BaLiP2 | PBE | relaxed

Cell and atoms, written as extended XYZ:
```
4
Lattice="-4.504 -2.362 -2.529 -0.111 -5.638 0.681 0.623 4.355 3.592" Properties=species:S:1:pos:R:3 pbc="T T T"
Ba -2.307 -4.000 -0.924
Li -3.094 -1.003 0.069
P 0.000 0.000 0.000
P -0.898 -2.641 1.674
```

Results
As for the calculated volume: 95.0 Å³/cell. As for the space group: I-4m2.

[7]
BaLi2P2 | PBE | relaxed

Cell and atoms, written as extended XYZ:
```
10
Lattice="7.974 0.000 0.000 0.000 7.974 0.000 0.000 0.000 3.104" Properties=species:S:1:pos:R:3 pbc="T T T"
P 1.342 5.329 1.552
P 5.329 6.632 1.552
P 6.632 2.645 1.552
P 2.645 1.342 1.552
Ba 0.000 0.000 0.000
Ba 3.987 3.987 0.000
Li 3.090 7.077 0.000
Li 7.077 4.884 0.000
Li 4.884 0.897 0.000
Li 0.897 3.090 0.000
```

Results
As for the calculated volume: 197.4 Å³/cell. As for the space group: P4/mbm.

[8]
BaLiP3 | PBE | relaxed

Cell and atoms, written as extended XYZ:
```
5
Lattice="5.741 0.000 0.000 0.000 5.741 0.000 0.000 0.000 5.741" Properties=species:S:1:pos:R:3 pbc="T T T"
P 0.000 2.871 0.000
P 0.000 0.000 2.871
P 2.871 0.000 0.000
Ba 0.000 0.000 0.000
Li 2.871 2.871 2.871
```

Results
As for the calculated volume: 189.2 Å³/cell. As for the space group: Pm-3m.

[9]
Ba3Li2P3 | PBE | relaxed

Cell and atoms, written as extended XYZ:
```
16
Lattice="4.566 0.000 0.000 -2.283 5.886 0.000 0.000 0.000 15.907" Properties=species:S:1:pos:R:3 pbc="T T T"
Ba 2.283 4.177 6.331
Ba 0.000 1.708 14.285
Ba 2.283 4.177 1.622
Ba 0.000 1.708 9.576
Ba 2.283 0.659 3.977
Ba 0.000 5.227 11.931
Li 2.283 4.223 14.123
Li 0.000 1.663 6.169
Li 2.283 4.223 9.738
Li 0.000 1.663 1.784
P 2.283 0.810 7.165
P 0.000 5.076 15.119
P 2.283 0.810 0.789
P 0.000 5.076 8.742
P 0.000 3.079 3.977
P 2.283 2.807 11.931
```

Results
As for the calculated volume: 427.5 Å³/cell. As for the space group: Cmcm.

[10]
Ba2LiP | PBE | relaxed

Cell and atoms, written as extended XYZ:
```
4
Lattice="8.919 -0.019 -0.012 7.814 4.300 -0.012 7.814 1.999 3.807" Properties=species:S:1:pos:R:3 pbc="T T T"
P 19.481 4.984 3.003
Ba 0.932 0.238 0.144
Ba 5.180 1.325 0.799
Li 11.227 2.872 1.731
```

Results
As for the calculated volume: 147.0 Å³/cell. As for the space group: R3m.

[11]
BaLiP2 | PBE | relaxed

Cell and atoms, written as extended XYZ:
```
4
Lattice="-2.949 3.435 -2.193 -2.609 -1.194 -4.132 -5.004 -0.465 0.231" Properties=species:S:1:pos:R:3 pbc="T T T"
Ba -5.281 0.888 -3.047
Li -7.921 1.332 -4.570
P 0.000 0.000 0.000
P -2.640 0.444 -1.523
```

Results
As for the calculated volume: 90.0 Å³/cell. As for the space group: F-43m.

[12]
BaLiP4 | PBE | relaxed

Cell and atoms, written as extended XYZ:
```
6
Lattice="-1.189 -5.349 1.051 1.432 -2.267 4.893 -3.939 -1.301 3.731" Properties=species:S:1:pos:R:3 pbc="T T T"
Ba -2.773 -6.687 7.257
Li 0.000 0.000 0.000
P -1.998 -6.216 4.067
P -3.548 -3.935 5.577
P -0.521 -4.479 6.232
P -1.328 -3.202 3.475
```

Results
As for the calculated volume: 122.8 Å³/cell. As for the space group: F-43m.

[13]
Ba2LiP | PBE | relaxed

Cell and atoms, written as extended XYZ:
```
4
Lattice="4.668 -0.006 0.013 2.346 4.036 0.013 2.267 1.303 9.420" Properties=species:S:1:pos:R:3 pbc="T T T"
Ba 7.002 4.023 0.665
Ba 4.653 2.673 4.085
Li 6.961 3.999 7.085
P 2.320 1.333 2.362
```

Results
As for the calculated volume: 177.4 Å³/cell. As for the space group: C2/m.

[14]
BaLiP | PBE | relaxed

Cell and atoms, written as extended XYZ:
```
6
Lattice="5.103 -0.267 0.000 1.330 4.934 0.000 0.000 0.000 6.466" Properties=species:S:1:pos:R:3 pbc="T T T"
Ba 3.453 0.521 1.617
Ba 2.980 4.146 4.850
Li 0.665 2.467 3.233
Li 0.665 2.467 0.000
P 4.281 1.121 4.850
P 2.152 3.546 1.617
```

Results
As for the calculated volume: 165.1 Å³/cell. As for the space group: Cmcm.

[15]
Ba2LiP2 | PBE | relaxed

Cell and atoms, written as extended XYZ:
```
10
Lattice="8.216 0.000 0.000 0.000 8.216 0.000 0.000 0.000 4.470" Properties=species:S:1:pos:R:3 pbc="T T T"
P 2.852 6.960 0.000
P 6.960 5.364 0.000
P 5.364 1.256 0.000
P 1.256 2.852 0.000
Ba 1.235 5.343 2.235
Ba 5.343 6.981 2.235
Ba 6.981 2.873 2.235
Ba 2.873 1.235 2.235
Li 0.000 0.000 0.000
Li 4.108 4.108 0.000
```

Results
As for the calculated volume: 301.8 Å³/cell. As for the space group: P4/mbm.

[16]
BaLi3P | PBE | relaxed

Cell and atoms, written as extended XYZ:
```
5
Lattice="5.312 0.000 0.000 0.000 5.312 0.000 0.000 0.000 5.312" Properties=species:S:1:pos:R:3 pbc="T T T"
P 2.656 2.656 2.656
Ba 0.000 0.000 0.000
Li 0.000 2.656 0.000
Li 0.000 0.000 2.656
Li 2.656 0.000 0.000
```

Results
As for the calculated volume: 149.8 Å³/cell. As for the space group: Pm-3m.

[17]
BaLiP2 | PBE | relaxed

Cell and atoms, written as extended XYZ:
```
4
Lattice="3.107 -3.017 -2.793 3.186 -3.297 2.352 -0.886 -5.070 -0.263" Properties=species:S:1:pos:R:3 pbc="T T T"
P 1.352 -2.846 -0.176
P 4.055 -8.538 -0.527
Ba 2.704 -5.692 -0.352
Li 0.000 0.000 0.000
```

Results
As for the calculated volume: 96.8 Å³/cell. As for the space group: Fm-3m.

[18]
BaLiP2 | PBE | relaxed

Cell and atoms, written as extended XYZ:
```
4
Lattice="-5.433 -0.187 0.035 -1.260 -5.258 -0.569 3.380 2.360 3.545" Properties=species:S:1:pos:R:3 pbc="T T T"
Ba -0.613 -2.810 1.354
Li -2.700 -0.275 1.656
P 0.000 0.000 0.000
P -3.346 -2.722 -0.267
```

Results
As for the calculated volume: 94.0 Å³/cell. As for the space group: I4/mmm.

[19]
Ba2LiP | PBE | relaxed

Cell and atoms, written as extended XYZ:
```
4
Lattice="6.969 0.108 0.001 5.373 4.440 0.001 0.000 0.000 4.518" Properties=species:S:1:pos:R:3 pbc="T T T"
P 3.988 1.470 0.565
Ba 0.147 0.054 0.564
Ba 9.196 3.389 2.827
Li 5.182 1.910 2.823
```

Results
As for the calculated volume: 137.2 Å³/cell. As for the space group: Amm2.

[20]
BaLiP2 | PBE | relaxed

Cell and atoms, written as extended XYZ:
```
4
Lattice="-2.886 -1.716 0.971 0.378 -2.170 -2.713 4.372 -4.825 4.469" Properties=species:S:1:pos:R:3 pbc="T T T"
Ba 1.953 -2.155 1.996
Li 2.439 -6.019 2.904
P 0.260 -0.287 0.266
P -0.602 -2.662 -0.205
```

Results
As for the calculated volume: 96.5 Å³/cell. As for the space group: P4mm.

Looking at electronic total energy for the records above, in order, we have -0.122 -0.161 -0.096 -0.147 -0.114 -0.137 -0.140 -0.106 -0.148 -0.126 -0.136 -0.161 -0.122 -0.141 -0.145 -0.051 -0.141 -0.143 -0.124 -0.138 Ha/atom.